one | This record from the Alexandria database describes a PBEsol-optimized structure of CrC3Se. The functional is SCAN.

Lattice parameters (Å, degrees): 3.830 3.830 3.830 90.00 90.00 90.00
Space group Pm-3m (No. 221)
Inequivalent atoms, fractional coordinates:
Cr1 0.000 0.000 0.000 x1
C1 0.000 0.500 0.500 x3
Se1 0.500 0.500 0.500 x1

Summary:
Total magnetic moment in μB/f.u.: 3.302
Crystal system: cubic

two | This record from the Alexandria database describes a PBEsol-optimized structure of CrC3Se. The functional is SCAN.

Lattice parameters (Å, degrees): 3.856 3.856 3.856 90.00 90.00 90.00
Space group Pm-3m (No. 221)
Inequivalent atoms, fractional coordinates:
Cr1 0.000 0.000 0.000 x1
C1 0.000 0.000 0.500 x3
Se1 0.500 0.500 0.500 x1

Summary:
Total magnetic moment in μB/f.u.: 1.998
Crystal system: cubic

Energetically preferred structure: two | next structure: +0.641 eV/atom